[1]
This record from Alexandria via LeMat-Bulk describes crystalline Ca3HgAs3 at its relaxed geometry. The functional is PBE-GGA.

* uncorrected energy: -3.6966 eV/atom
* total moment: 0.000 μB per cell

a = 9.6939 Å, b = 9.6939 Å, c = 11.9663 Å
α = 90.00°, β = 90.00°, γ = 42.85°
With the nearest neighbours (Å) after each atom.
Sites, in units of the cell vectors:
Ca 0.0023 0.6512 0.1279  5 As 2.97-3.18, 1 Hg 3.12
Ca 0.1512 0.5023 0.6279  5 As 2.97-3.18, 1 Hg 3.12
Ca 0.1741 0.8259 0.8631  5 As 2.97-3.11, 2 Hg 3.29
Ca 0.3259 0.6741 0.3631  5 As 2.97-3.11, 2 Hg 3.29
Ca 0.3488 0.9977 0.1279  5 As 2.97-3.18, 1 Hg 3.12
Ca 0.4977 0.8488 0.6279  5 As 2.97-3.18, 1 Hg 3.12
Ca 0.5023 0.1512 0.3721  5 As 2.97-3.18, 1 Hg 3.12
Ca 0.6512 0.0023 0.8721  5 As 2.97-3.18, 1 Hg 3.12
Ca 0.6741 0.3259 0.6369  5 As 2.97-3.11, 2 Hg 3.29
Ca 0.8259 0.1741 0.1369  5 As 2.97-3.11, 2 Hg 3.29
Ca 0.8488 0.4977 0.3721  5 As 2.97-3.18, 1 Hg 3.12
Ca 0.9977 0.3488 0.8721  5 As 2.97-3.18, 1 Hg 3.12
Hg 0.0926 0.0926 0.5000  4 As 2.68-2.81
Hg 0.4074 0.4074 0.0000  4 As 2.68-2.81
Hg 0.5926 0.5926 0.0000  4 As 2.68-2.81
Hg 0.9074 0.9074 0.5000  4 As 2.68-2.81
As 0.0837 0.5869 0.8729  1 Hg 2.68, 2 Ca 2.97-2.98
As 0.0869 0.5837 0.3729  1 Hg 2.68, 2 Ca 2.97-2.98
As 0.2478 0.7522 0.6188  2 Hg 2.81, 3 Ca 2.97-3.11
As 0.2522 0.7478 0.1188  2 Hg 2.81, 3 Ca 2.97-3.11
As 0.4131 0.9163 0.8729  1 Hg 2.68, 2 Ca 2.97-2.98
As 0.4163 0.9131 0.3729  1 Hg 2.68, 2 Ca 2.97-2.98
As 0.5837 0.0869 0.6271  1 Hg 2.68, 2 Ca 2.97-2.98
As 0.5869 0.0837 0.1271  1 Hg 2.68, 2 Ca 2.97-2.98
As 0.7478 0.2522 0.8812  2 Hg 2.81, 3 Ca 2.97-3.11
As 0.7522 0.2478 0.3812  2 Hg 2.81, 3 Ca 2.97-3.11
As 0.9131 0.4163 0.6271  1 Hg 2.68, 2 Ca 2.97-2.98
As 0.9163 0.4131 0.1271  1 Hg 2.68, 2 Ca 2.97-2.98

---

[2]
This record from Alexandria via LeMat-Bulk describes crystalline LaTlCl2 at its relaxed geometry. The functional is PBE-GGA.

* formation energy without anion corrections: -1426 meV per atom
* total moment: 0.000 μB per cell
* excess energy over the best structure of this formula in the dataset: 0.000 kcal/mol of atoms

a = 10.7274 Å, b = 10.7274 Å, c = 10.7274 Å
α = 20.13°, β = 20.13°, γ = 20.13°
With the nearest neighbours (Å) after each atom.
Sites, in units of the cell vectors:
La 0.0000 0.0000 0.0000  6 Cl 2.92
Tl 0.5000 0.5000 0.5000  2 Cl 3.30
Cl 0.3954 0.3954 0.3954  3 La 2.92
Cl 0.6046 0.6046 0.6046  3 La 2.92

---

[3]
This record from Alexandria via LeMat-Bulk describes crystalline Ce8Sn3Ge2 at its relaxed geometry. The functional is PBE-GGA.

* uncorrected energy: -5.6882 eV/atom
* total moment: 7.488 μB per cell

a = 9.1599 Å, b = 9.1599 Å, c = 4.4460 Å
α = 98.27°, β = 98.27°, γ = 71.88°
With the nearest neighbours (Å) after each atom.
Sites, in units of the cell vectors:
Ce 0.0641 0.0641 0.2847  2 Ce 2.88-2.93, 2 Ge 2.97-3.11
Ce 0.0889 0.5843 0.9024  1 Ce 2.86, 1 Ge 3.04
Ce 0.3406 0.3406 0.4174  2 Ge 2.93-3.00, 2 Sn 3.18-3.26
Ce 0.4157 0.9111 0.0976  1 Ce 2.86, 1 Ge 3.04
Ce 0.5843 0.0889 0.9024  1 Ce 2.86, 1 Ge 3.04
Ce 0.6594 0.6594 0.5826  2 Ge 2.93-3.00, 2 Sn 3.18-3.26
Ce 0.9111 0.4157 0.0976  1 Ce 2.86, 1 Ge 3.04
Ce 0.9359 0.9359 0.7153  2 Ce 2.88-2.93, 2 Ge 2.97-3.11
Sn 0.2723 0.7277 0.5000  8 Ce 3.26-3.38, 2 Sn 3.31
Sn 0.5000 0.5000 0.0000  4 Ce 3.18-3.26, 4 Sn 3.31
Sn 0.7277 0.2723 0.5000  8 Ce 3.26-3.38, 2 Sn 3.31
Ge 0.2062 0.2062 0.8480  8 Ce 2.93-3.28
Ge 0.7938 0.7938 0.1520  8 Ce 2.93-3.28

---

[4]
This record from Alexandria via LeMat-Bulk describes crystalline Mn3VH at its relaxed geometry. The functional is PBE-GGA.

* total moment: 4.329 μB per cell
* excess energy over the best structure of this formula in the dataset: 0.000 kcal/mol of atoms

a = 3.6803 Å, b = 3.6803 Å, c = 3.6803 Å
α = 90.00°, β = 90.00°, γ = 90.00°
With the nearest neighbours (Å) after each atom.
Sites, in units of the cell vectors:
Mn 0.0000 0.0000 0.5000  2 H 1.84
Mn 0.0000 0.5000 0.0000  2 H 1.84
Mn 0.5000 0.0000 0.0000  2 H 1.84
V 0.5000 0.5000 0.5000  12 Mn 2.60
H 0.0000 0.0000 0.0000  6 Mn 1.84

---

[5]
This record from Alexandria via LeMat-Bulk describes crystalline SrCa4Ac15 at its relaxed geometry. The functional is PBE-GGA.

* uncorrected energy: -3.5326 eV/atom
* total moment: 0.000 μB per cell

a = 5.6062 Å, b = 5.6062 Å, c = 28.2846 Å
α = 90.00°, β = 90.00°, γ = 90.00°
With the nearest neighbours (Å) after each atom.
Sites, in units of the cell vectors:
Sr 0.0000 0.0000 0.0000  12 Ac 3.96-4.04
Ca 0.0000 0.0000 0.2018  12 Ac 3.96-3.97
Ca 0.0000 0.0000 0.4006  12 Ac 3.96-3.97
Ca 0.0000 0.0000 0.5994  12 Ac 3.96-3.97
Ca 0.0000 0.0000 0.7982  12 Ac 3.96-3.97
Ac 0.0000 0.5000 0.1027  2 Ca 3.96, 8 Ac 3.96-4.04, 2 Sr 4.04
Ac 0.0000 0.5000 0.3012  8 Ac 3.96-3.97, 4 Ca 3.97
Ac 0.0000 0.5000 0.5000  8 Ac 3.96-3.97, 4 Ca 3.97
Ac 0.0000 0.5000 0.6988  8 Ac 3.96-3.97, 4 Ca 3.97
Ac 0.0000 0.5000 0.8973  2 Ca 3.96, 8 Ac 3.96-4.04, 2 Sr 4.04
Ac 0.5000 0.0000 0.1027  2 Ca 3.96, 8 Ac 3.96-4.04, 2 Sr 4.04
Ac 0.5000 0.0000 0.3012  8 Ac 3.96-3.97, 4 Ca 3.97
Ac 0.5000 0.0000 0.5000  8 Ac 3.96-3.97, 4 Ca 3.97
Ac 0.5000 0.0000 0.6988  8 Ac 3.96-3.97, 4 Ca 3.97
Ac 0.5000 0.0000 0.8973  2 Ca 3.96, 8 Ac 3.96-4.04, 2 Sr 4.04
Ac 0.5000 0.5000 0.0000  4 Sr 3.96, 8 Ac 4.04
Ac 0.5000 0.5000 0.2022  8 Ac 3.96-3.97, 4 Ca 3.96
Ac 0.5000 0.5000 0.4006  4 Ca 3.96, 8 Ac 3.97
Ac 0.5000 0.5000 0.5994  4 Ca 3.96, 8 Ac 3.97
Ac 0.5000 0.5000 0.7978  8 Ac 3.96-3.97, 4 Ca 3.96

---

[6]
This record from Alexandria via LeMat-Bulk describes crystalline Hf2MgPd3 at its relaxed geometry. The functional is PBE-GGA.

* total moment: 0.000 μB per cell
* excess energy over the best structure of this formula in the dataset: 0.173 kcal/mol of atoms

a = 3.3010 Å, b = 3.3010 Å, c = 9.8208 Å
α = 90.00°, β = 90.00°, γ = 90.00°
With the nearest neighbours (Å) after each atom.
Sites, in units of the cell vectors:
Hf 0.0000 0.0000 0.1721  8 Pd 2.83-2.88
Hf 0.0000 0.0000 0.8279  8 Pd 2.83-2.88
Mg 0.0000 0.0000 0.5000  8 Pd 2.85
Pd 0.5000 0.5000 0.0000  8 Hf 2.88
Pd 0.5000 0.5000 0.3343  4 Hf 2.83, 4 Mg 2.85
Pd 0.5000 0.5000 0.6657  4 Hf 2.83, 4 Mg 2.85

---

[7]
This record from Alexandria via LeMat-Bulk describes crystalline La4DyTh3 at its relaxed geometry. The functional is PBE-GGA.

* uncorrected energy: -5.7929 eV/atom
* total moment: 0.000 μB per cell

a = 5.1045 Å, b = 10.2396 Å, c = 10.4576 Å
α = 90.00°, β = 90.00°, γ = 90.00°
With the nearest neighbours (Å) after each atom.
Sites, in units of the cell vectors:
La 0.2500 0.0006 0.1389  3 Th 3.61-3.62, 8 La 3.61-3.90, 1 Dy 3.64
La 0.2500 0.2500 0.8663  8 La 3.62-3.85, 2 Dy 3.67, 2 Th 3.68
La 0.2500 0.4994 0.1389  3 Th 3.61-3.62, 8 La 3.61-3.90, 1 Dy 3.64
La 0.2500 0.7500 0.8575  4 Th 3.58, 8 La 3.61-3.90
La 0.7500 0.2500 0.1425  4 Th 3.58, 8 La 3.61-3.90
La 0.7500 0.5006 0.8611  3 Th 3.61-3.62, 8 La 3.61-3.90, 1 Dy 3.64
La 0.7500 0.7500 0.1337  8 La 3.62-3.85, 2 Dy 3.67, 2 Th 3.68
La 0.7500 0.9994 0.8611  3 Th 3.61-3.62, 8 La 3.61-3.90, 1 Dy 3.64
Dy 0.2500 0.7500 0.3864  8 Th 3.49-3.63, 4 La 3.64-3.67
Dy 0.7500 0.2500 0.6136  8 Th 3.49-3.63, 4 La 3.64-3.67
Th 0.2500 0.2500 0.3826  2 Dy 3.51, 6 Th 3.55-3.60, 4 La 3.58-3.61
Th 0.2500 0.5020 0.6156  3 Dy 3.49-3.63, 5 Th 3.52-3.60, 4 La 3.58-3.68
Th 0.2500 0.9980 0.6156  3 Dy 3.49-3.63, 5 Th 3.52-3.60, 4 La 3.58-3.68
Th 0.7500 0.0020 0.3844  3 Dy 3.49-3.63, 5 Th 3.52-3.60, 4 La 3.58-3.68
Th 0.7500 0.4980 0.3844  3 Dy 3.49-3.63, 5 Th 3.52-3.60, 4 La 3.58-3.68
Th 0.7500 0.7500 0.6174  2 Dy 3.51, 6 Th 3.55-3.60, 4 La 3.58-3.61

---

[8]
This record from Alexandria via LeMat-Bulk describes crystalline Li3Cd4In2Ag2 at its relaxed geometry. The functional is PBE-GGA.

* uncorrected energy: -2.0367 eV/atom
* total moment: 0.000 μB per cell

a = 4.7932 Å, b = 4.7932 Å, c = 11.3255 Å
α = 90.00°, β = 90.00°, γ = 120.00°
With the nearest neighbours (Å) after each atom.
Sites, in units of the cell vectors:
Li 0.0000 0.0000 0.0000  6 Cd 2.88
Li 0.0000 0.0000 0.3306  3 Ag 2.78, 3 Cd 3.05
Li 0.0000 0.0000 0.6694  3 Ag 2.78, 3 Cd 3.05
Cd 0.3333 0.6667 0.4440  1 Ag 2.76, 1 In 2.88, 3 Cd 3.04, 3 Li 3.05
Cd 0.3333 0.6667 0.9308  1 Ag 2.75, 3 Li 2.88, 1 In 2.93
Cd 0.6667 0.3333 0.0692  1 Ag 2.75, 3 Li 2.88, 1 In 2.93
Cd 0.6667 0.3333 0.5560  1 Ag 2.76, 1 In 2.88, 3 Cd 3.04, 3 Li 3.05
In 0.3333 0.6667 0.1898  5 Cd 2.88-3.09, 3 Ag 3.10, 3 Li 3.19
In 0.6667 0.3333 0.8102  5 Cd 2.88-3.09, 3 Ag 3.10, 3 Li 3.19
Ag 0.3333 0.6667 0.6878  2 Cd 2.75-2.76, 3 Li 2.78
Ag 0.6667 0.3333 0.3122  2 Cd 2.75-2.76, 3 Li 2.78